1.
BeCoIr | meta-GGA SCAN | PBEsol geometry

Computed properties:
Uncorrected energy   -30.8612 eV/atom
Size of the total moment   1.80 μB/f.u.
Theoretical density   12.46 g/cm³
Space-group type   F-43m, No. 216

abc: 3.660 3.660 3.660
angles: 60.00 60.00 60.00
Element x y z (fractional)
Be 0.000 0.000 0.000
Co 0.750 0.750 0.750
Ir 0.250 0.250 0.250

=====

2.
Li3Fe2P4HO14 | meta-GGA SCAN | PBEsol geometry

Computed properties:
Uncorrected energy   -9.5605 eV/atom
Size of the total moment   8.00 μB/f.u.
Theoretical density   2.95 g/cm³
Space-group type   P-1, No. 2

abc: 4.848 4.940 12.699
angles: 86.40 84.80 63.33
Element x y z (fractional)
Li 0.000 0.000 0.000
Li 0.196 0.292 0.426
Li 0.804 0.708 0.574
Fe 0.084 0.983 0.750
Fe 0.916 0.017 0.250
P 0.396 0.367 0.872
P 0.458 0.348 0.647
P 0.542 0.652 0.353
P 0.604 0.633 0.128
H 0.500 0.000 0.000
O 0.211 0.710 0.876
O 0.217 0.923 0.363
O 0.238 0.357 0.569
O 0.257 0.747 0.138
O 0.288 0.203 0.960
O 0.301 0.277 0.761
O 0.469 0.648 0.662
O 0.531 0.352 0.338
O 0.699 0.723 0.239
O 0.712 0.797 0.040
O 0.743 0.253 0.862
O 0.762 0.643 0.431
O 0.783 0.077 0.637
O 0.789 0.290 0.124

=====

3.
CsAsAuSe2 | meta-GGA SCAN | PBEsol geometry

Computed properties:
Uncorrected energy   -33.4967 eV/atom
Size of the total moment   0.00 μB/f.u.
Theoretical density   6.72 g/cm³
Space-group type   P4/mmm, No. 123

abc: 5.327 5.327 4.900
angles: 90.00 90.00 90.00
Element x y z (fractional)
Cs 0.000 0.000 0.000
As 0.500 0.500 0.000
Au 0.500 0.500 0.500
Se 0.000 0.500 0.500
Se 0.500 0.000 0.500

=====

4.
SrRe2Ir | meta-GGA SCAN | PBEsol geometry

Computed properties:
Excess energy over the best structure of this formula in the dataset   0 meV per atom
Uncorrected energy   -57.9373 eV/atom
Size of the total moment   0.00 μB/f.u.
Theoretical density   16.03 g/cm³
Space-group type   C2/m, No. 12

abc: 5.530 5.530 2.707
angles: 98.45 98.45 121.21
Element x y z (fractional)
Sr 0.000 0.000 0.000
Re 0.000 0.500 0.500
Re 0.500 0.000 0.500
Ir 0.500 0.500 0.000

=====

5.
RuSe3I | meta-GGA SCAN | PBEsol geometry

Computed properties:
Uncorrected energy   -24.8634 eV/atom
Size of the total moment   3.56 μB/f.u.
Theoretical density   5.31 g/cm³
Space-group type   Pm-3m, No. 221

abc: 5.259 5.259 5.259
angles: 90.00 90.00 90.00
Element x y z (fractional)
Ru 0.000 0.000 0.000
Se 0.000 0.500 0.500
Se 0.500 0.000 0.500
Se 0.500 0.500 0.000
I 0.500 0.500 0.500

=====

6.
ScRh2Pb | meta-GGA SCAN | PBEsol geometry

Computed properties:
Uncorrected energy   -40.0384 eV/atom
Size of the total moment   0.85 μB/f.u.
Theoretical density   11.35 g/cm³
Space-group type   Fm-3m, No. 225

abc: 4.559 4.559 4.559
angles: 60.00 60.00 60.00
Element x y z (fractional)
Sc 0.000 0.000 0.000
Rh 0.250 0.250 0.250
Rh 0.750 0.750 0.750
Pb 0.500 0.500 0.500

=====

7.
As2WO7 | meta-GGA SCAN | PBEsol geometry

Computed properties:
Uncorrected energy   -16.9380 eV/atom
Size of the total moment   0.00 μB/f.u.
Theoretical density   4.73 g/cm³
Space-group type   P2_1/c, No. 14

abc: 7.415 8.319 10.180
angles: 90.00 95.05 90.00
Element x y z (fractional)
As 0.065 0.247 0.241
As 0.065 0.253 0.741
As 0.327 0.213 0.000
As 0.327 0.287 0.500
As 0.673 0.713 0.500
As 0.673 0.787 0.000
As 0.935 0.747 0.259
As 0.935 0.753 0.759
W 0.329 0.574 0.192
W 0.329 0.926 0.692
W 0.671 0.074 0.308
W 0.671 0.426 0.808
O 0.105 0.167 0.092
O 0.105 0.333 0.592
O 0.109 0.050 0.747
O 0.109 0.450 0.247
O 0.161 0.745 0.233
O 0.161 0.755 0.733
O 0.190 0.156 0.372
O 0.190 0.344 0.872
O 0.378 0.117 0.606
O 0.378 0.383 0.106
O 0.426 0.705 0.080
O 0.426 0.795 0.580
O 0.483 0.567 0.330
O 0.483 0.933 0.830
O 0.517 0.067 0.170
O 0.517 0.433 0.670
O 0.574 0.205 0.420
O 0.574 0.295 0.920
O 0.622 0.617 0.894
O 0.622 0.883 0.394
O 0.810 0.656 0.128
O 0.810 0.844 0.628
O 0.839 0.245 0.267
O 0.839 0.255 0.767
O 0.891 0.550 0.753
O 0.891 0.950 0.253
O 0.895 0.667 0.408
O 0.895 0.833 0.908

=====

8.
Li2FeCu | meta-GGA SCAN | PBEsol geometry

Computed properties:
Uncorrected energy   -9.3848 eV/atom
Size of the total moment   2.38 μB/f.u.
Theoretical density   4.72 g/cm³
Space-group type   R-3m, No. 166

abc: 8.856 8.856 8.856
angles: 16.15 16.15 16.15
Element x y z (fractional)
Li 0.250 0.250 0.250
Li 0.750 0.750 0.750
Fe 0.000 0.000 0.000
Cu 0.500 0.500 0.500

=====

9.
Sm2AlGe6 | meta-GGA SCAN | PBEsol geometry

Computed properties:
Uncorrected energy   -23.9488 eV/atom
Size of the total moment   0.00 μB/f.u.
Theoretical density   6.98 g/cm³
Space-group type   C2/m, No. 12

abc: 5.957 5.957 10.475
angles: 98.29 98.29 91.78
Element x y z (fractional)
Sm 0.158 0.664 0.662
Sm 0.336 0.842 0.338
Sm 0.664 0.158 0.662
Sm 0.842 0.336 0.338
Al 0.198 0.198 0.801
Al 0.802 0.802 0.199
Ge 0.068 0.496 0.117
Ge 0.070 0.070 0.117
Ge 0.148 0.148 0.558
Ge 0.365 0.365 0.411
Ge 0.492 0.492 0.117
Ge 0.496 0.068 0.117
Ge 0.504 0.932 0.883
Ge 0.508 0.508 0.883
Ge 0.635 0.635 0.589
Ge 0.852 0.852 0.442
Ge 0.930 0.930 0.883
Ge 0.932 0.504 0.883

=====

10.
InReAg | meta-GGA SCAN | PBEsol geometry

Computed properties:
Excess energy over the best structure of this formula in the dataset   73 meV per atom
Uncorrected energy   -44.5386 eV/atom
Size of the total moment   0.00 μB/f.u.
Theoretical density   13.37 g/cm³
Space-group type   Imm2, No. 44

abc: 5.029 5.029 5.029
angles: 148.27 129.99 60.45
Element x y z (fractional)
In 0.000 0.000 0.000
Re 0.667 0.667 0.000
Ag 0.328 0.328 0.000

=====

11.
Li3Mo2P3O12 | meta-GGA SCAN | PBEsol geometry

Computed properties:
Excess energy over the best structure of this formula in the dataset   6 meV per atom
Uncorrected energy   -11.5054 eV/atom
Size of the total moment   6.00 μB/f.u.
Theoretical density   3.61 g/cm³
Space-group type   P2_1/c, No. 14

abc: 8.509 8.871 14.797
angles: 90.00 125.03 90.00
Element x y z (fractional)
Li 0.004 0.223 0.179
Li 0.004 0.277 0.679
Li 0.282 0.015 0.850
Li 0.282 0.485 0.350
Li 0.394 0.091 0.313
Li 0.394 0.409 0.813
Li 0.606 0.591 0.187
Li 0.606 0.909 0.687
Li 0.718 0.515 0.650
Li 0.718 0.985 0.150
Li 0.996 0.723 0.321
Li 0.996 0.777 0.821
Mo 0.133 0.039 0.389
Mo 0.133 0.461 0.889
Mo 0.354 0.030 0.108
Mo 0.354 0.470 0.608
Mo 0.646 0.530 0.392
Mo 0.646 0.970 0.892
Mo 0.867 0.539 0.111
Mo 0.867 0.961 0.611
P 0.034 0.608 0.648
P 0.034 0.892 0.148
P 0.265 0.117 0.653
P 0.265 0.383 0.153
P 0.445 0.750 0.488
P 0.445 0.750 0.988
P 0.555 0.250 0.012
P 0.555 0.250 0.512
P 0.735 0.617 0.847
P 0.735 0.883 0.347
P 0.966 0.108 0.852
P 0.966 0.392 0.352
O 0.016 0.739 0.192
O 0.016 0.761 0.692
O 0.123 0.010 0.245
O 0.123 0.490 0.745
O 0.135 0.072 0.694
O 0.135 0.428 0.194
O 0.155 0.613 0.602
O 0.155 0.887 0.102
O 0.162 0.089 0.531
O 0.162 0.411 0.031
O 0.174 0.049 0.937
O 0.174 0.451 0.437
O 0.244 0.681 0.936
O 0.244 0.819 0.436
O 0.293 0.211 0.177
O 0.293 0.289 0.677
O 0.400 0.129 0.450
O 0.400 0.371 0.950
O 0.447 0.667 0.397
O 0.447 0.833 0.897
O 0.454 0.025 0.721
O 0.454 0.475 0.221
O 0.487 0.639 0.581
O 0.487 0.861 0.081
O 0.513 0.139 0.919
O 0.513 0.361 0.419
O 0.546 0.525 0.779
O 0.546 0.975 0.279
O 0.553 0.167 0.103
O 0.553 0.333 0.603
O 0.600 0.629 0.050
O 0.600 0.871 0.550
O 0.707 0.711 0.323
O 0.707 0.789 0.823
O 0.756 0.181 0.564
O 0.756 0.319 0.064
O 0.826 0.549 0.563
O 0.826 0.951 0.063
O 0.838 0.589 0.969
O 0.838 0.911 0.469
O 0.845 0.113 0.898
O 0.845 0.387 0.398
O 0.865 0.572 0.806
O 0.865 0.928 0.306
O 0.877 0.510 0.255
O 0.877 0.990 0.755
O 0.984 0.239 0.308
O 0.984 0.261 0.808

=====

12.
Be2NiTe | meta-GGA SCAN | PBEsol geometry

Computed properties:
Uncorrected energy   -15.1900 eV/atom
Size of the total moment   0.00 μB/f.u.
Theoretical density   5.92 g/cm³
Space-group type   P2/m, No. 10

abc: 3.854 3.841 3.869
angles: 90.00 90.55 90.00
Element x y z (fractional)
Be 0.163 0.000 0.285
Be 0.837 0.000 0.715
Ni 0.000 0.500 0.500
Te 0.500 0.500 0.000

=====

Table of V (Å³/cell), in record order: 34.7; 270.6; 139.0; 67.6; 145.5; 67.0; 625.5; 46.9; 363.4; 50.8; 914.5; 57.3